The following is a PBE-GGA calculation of ScFe2I after structural relaxation, from Alexandria.

The structure in CIF format:
```
data_ScFe2I
_cell_length_a 6.271
_cell_length_b 6.271
_cell_length_c 6.271
_cell_angle_alpha 90.00
_cell_angle_beta 90.00
_cell_angle_gamma 90.00
_space_group_name_H-M_alt 'F m -3 m'
_space_group_IT_number 225
_space_group_name_Hall '-F 4 2 3'
loop_
_atom_site_label
_atom_site_fract_x
_atom_site_fract_y
_atom_site_fract_z
_atom_site_occupancy
Sc1 0.000 0.000 0.000 1
Fe1 0.250 0.250 0.250 1
I1 0.000 0.000 0.500 1
```

Values from the calculation:
- ΔE_f (raw) (meV per atom) = 483